Computed, not measured: a relaxed structure of Ca2SbCl at the PBE level of DFT.

Lattice parameters (Å, degrees): 6.299 6.299 4.762 90.01 90.01 38.24
Element x y z (fractional)
1 Ca 0.000 0.000 0.000
2 Ca 0.748 0.748 0.499
3 Sb 0.470 0.470 0.500
4 Cl 0.226 0.226 0.002

SG = Cm

Computed, not measured: a relaxed structure of Cr2CCl at the PBE level of DFT.

Lattice parameters (Å, degrees): 6.071 6.071 6.071 128.09 128.09 76.48
Element x y z (fractional)
1 Cr 0.033 0.625 0.908
2 Cr 0.375 0.283 0.408
3 Cr 0.717 0.125 0.092
4 Cr 0.875 0.967 0.592
5 C 0.000 0.000 0.000
6 C 0.750 0.250 0.500
7 Cl 0.250 0.750 0.500
8 Cl 0.500 0.500 0.000

SG = I-42d

Computed, not measured: a relaxed structure of KLaI2Cl at the PBE level of DFT.

Lattice parameters (Å, degrees): 6.366 6.366 5.565 90.00 90.00 90.00
Element x y z (fractional)
1 K 0.000 0.000 0.000
2 La 0.500 0.500 0.500
3 I 0.000 0.500 0.500
4 I 0.500 0.000 0.500
5 Cl 0.500 0.500 0.000

SG = P4/mmm

Computed, not measured: a relaxed structure of NdMgScZn at the PBE level of DFT.

Lattice parameters (Å, degrees): 5.133 5.133 5.133 60.00 60.00 60.00
Element x y z (fractional)
1 Nd 0.000 0.000 0.000
2 Mg 0.250 0.250 0.250
3 Sc 0.500 0.500 0.500
4 Zn 0.750 0.750 0.750

SG = F-43m
formation energy from the elements = -0.63 eV per formula unit

Computed, not measured: a relaxed structure of RbPtAu2 at the PBE level of DFT.

Lattice parameters (Å, degrees): 5.017 5.017 5.017 60.00 60.00 60.00
Element x y z (fractional)
1 Rb 0.000 0.000 0.000
2 Pt 0.500 0.500 0.500
3 Au 0.250 0.250 0.250
4 Au 0.750 0.750 0.750

SG = Fm-3m
formation energy from the elements = 1.77 eV per formula unit

Computed, not measured: a relaxed structure of LaZnIr2N at the PBE level of DFT.

Lattice parameters (Å, degrees): 4.479 4.479 5.677 90.00 90.00 90.00
Element x y z (fractional)
1 La 0.000 0.000 0.000
2 Zn 0.000 0.000 0.500
3 Ir 0.000 0.500 0.500
4 Ir 0.500 0.000 0.500
5 N 0.500 0.500 0.000

SG = P4/mmm

Computed, not measured: a relaxed structure of NpTi4S8 at the PBE level of DFT.

Lattice parameters (Å, degrees): 7.335 7.335 7.335 60.00 60.00 60.00
Element x y z (fractional)
1 Np 0.000 0.000 0.000
2 Ti 0.167 0.611 0.611
3 Ti 0.611 0.167 0.611
4 Ti 0.611 0.611 0.167
5 Ti 0.611 0.611 0.611
6 S 0.379 0.379 0.379
7 S 0.379 0.379 0.864
8 S 0.379 0.864 0.379
9 S 0.433 0.856 0.856
10 S 0.856 0.433 0.856
11 S 0.856 0.856 0.433
12 S 0.856 0.856 0.856
13 S 0.864 0.379 0.379

SG = F-43m

Computed, not measured: a relaxed structure of LiReAu2 at the PBE level of DFT.

Lattice parameters (Å, degrees): 4.898 4.898 2.713 90.00 90.00 90.00
Element x y z (fractional)
1 Li 0.000 0.000 0.000
2 Re 0.500 0.500 0.000
3 Au 0.000 0.500 0.500
4 Au 0.500 0.000 0.500

SG = P4/mmm
formation energy from the elements = 0.21 eV per formula unit

no.,DFT total energy (Ha/atom)
1,-0.142
2,-0.269
3,-0.135
4,-0.134
5,-0.108
6,-0.182
7,-0.264
8,-0.190